# 1
{
  "formula": "Li3YCo",
  "functional": "meta-GGA SCAN",
  "state": "single point on PBEsol structure",
  "dft_energy_ev_per_cell": -49.6,
  "dos_at_fermi_per_ev_atom": 0.6661,
  "m_tot_mub_per_cell": 0.000,
  "lattice": [[4.481, 0.000, 0.000], [0.000, 4.481, 0.000], [0.000, 0.000, 4.481]],
  "species": ["Li", "Li", "Li", "Y", "Co"],
  "fractional_positions": [[0.000, 0.000, 0.500], [0.000, 0.500, 0.000], [0.500, 0.000, 0.000], [0.500, 0.500, 0.500], [0.000, 0.000, 0.000]]
}

# 2
{
  "formula": "LiZn2Co",
  "functional": "meta-GGA SCAN",
  "state": "single point on PBEsol structure",
  "dft_energy_ev_per_cell": -46.9,
  "dos_at_fermi_per_ev_atom": 0.3005,
  "m_tot_mub_per_cell": 1.629,
  "lattice": [[4.639, -1.294, 0.000], [4.639, 1.294, 0.000], [-1.644, 0.000, 4.064]],
  "species": ["Li", "Zn", "Zn", "Co"],
  "fractional_positions": [[0.000, 0.000, 0.000], [0.501, 0.501, 0.512], [0.754, 0.754, 0.111], [0.242, 0.242, 0.601]]
}

# 3
{
  "formula": "LiZn2Co",
  "functional": "meta-GGA SCAN",
  "state": "single point on PBEsol structure",
  "dft_energy_ev_per_cell": -46.9,
  "dos_at_fermi_per_ev_atom": 0.3968,
  "m_tot_mub_per_cell": 0.004,
  "lattice": [[2.819, 0.000, 0.000], [0.000, 2.819, 0.000], [0.000, 0.000, 6.235]],
  "species": ["Li", "Zn", "Zn", "Co"],
  "fractional_positions": [[0.000, 0.000, 0.000], [0.500, 0.500, 0.272], [0.500, 0.500, 0.728], [0.000, 0.000, 0.500]]
}

# 4
{
  "formula": "LiZn3Co",
  "functional": "meta-GGA SCAN",
  "state": "single point on PBEsol structure",
  "dft_energy_ev_per_cell": -59.0,
  "e_above_lowest_polymorph_mev_per_atom": 0.0,
  "dos_at_fermi_per_ev_atom": 0.4462,
  "m_tot_mub_per_cell": 0.000,
  "lattice": [[4.493, 0.000, 0.000], [0.000, 4.493, 0.000], [0.000, 0.000, 4.493]],
  "species": ["Li", "Zn", "Zn", "Zn", "Co"],
  "fractional_positions": [[0.000, 0.000, 0.000], [0.000, 0.500, 0.500], [0.500, 0.000, 0.500], [0.500, 0.500, 0.000], [0.500, 0.500, 0.500]]
}